[1]
# Hf4Fe3W2N3 (GGA-PBE, relaxed)
# Final energy   -483.52 eV per cell
data_Hf4Fe3W2N3
_chemical_formula_sum 'Hf16 Fe12 W8 N12'
_symmetry_space_group_name_H-M 'C 1 2/c 1'
_symmetry_Int_Tables_number 15
_symmetry_space_group_name_Hall '-C 2yc'
_cell_length_a 9.173
_cell_length_b 5.266
_cell_length_c 13.721
_cell_angle_alpha 90.00
_cell_angle_beta 103.17
_cell_angle_gamma 90.00
loop_
_atom_site_label
_atom_site_fract_x
_atom_site_fract_y
_atom_site_fract_z
_atom_site_occupancy
Hf1 0.113 0.091 0.094 1
Hf2 0.224 0.082 0.406 1
Fe1 0.000 0.114 0.250 1
Fe2 0.231 0.185 0.749 1
W1 0.032 0.418 0.847 1
N1 0.083 0.253 0.499 1
N2 0.250 0.250 0.000 1

[2]
# MgReSiAs (GGA-PBE, relaxed)
# Final energy   -87.71 eV per cell
# ΔE to the lowest computed polymorph   144 kJ/mol of formula units
data_MgReSiAs
_chemical_formula_sum 'Mg4 Re4 Si4 As4'
_symmetry_space_group_name_H-M 'F -4 3 m'
_symmetry_Int_Tables_number 216
_symmetry_space_group_name_Hall 'F -4 2 3'
_cell_length_a 6.330
_cell_length_b 6.330
_cell_length_c 6.330
_cell_angle_alpha 90.00
_cell_angle_beta 90.00
_cell_angle_gamma 90.00
loop_
_atom_site_label
_atom_site_fract_x
_atom_site_fract_y
_atom_site_fract_z
_atom_site_occupancy
Mg1 0.000 0.000 0.000 1
Re1 0.250 0.250 0.250 1
Si1 0.000 0.000 0.500 1
As1 0.250 0.250 0.750 1

[3]
# LaPr2Ta2As6 (GGA-PBE, relaxed)
# Final energy   -150.15 eV per cell
data_LaPr2Ta2As6
_chemical_formula_sum 'La2 Pr4 Ta4 As12'
_symmetry_space_group_name_H-M 'I 4/m m m'
_symmetry_Int_Tables_number 139
_symmetry_space_group_name_Hall '-I 4 2'
_cell_length_a 4.908
_cell_length_b 4.908
_cell_length_c 23.999
_cell_angle_alpha 90.00
_cell_angle_beta 90.00
_cell_angle_gamma 90.00
loop_
_atom_site_label
_atom_site_fract_x
_atom_site_fract_y
_atom_site_fract_z
_atom_site_occupancy
La1 0.000 0.000 0.000 1
Pr1 0.000 0.000 0.166 1
Ta1 0.000 0.000 0.391 1
As1 0.000 0.000 0.291 1
As2 0.000 0.500 0.082 1

[4]
# Li4AlBiPt2 (GGA-PBE, relaxed)
# Final energy   -32.46 eV per cell
data_Li4AlBiPt2
_chemical_formula_sum 'Li4 Al1 Bi1 Pt2'
_symmetry_space_group_name_H-M 'P -4 m 2'
_symmetry_Int_Tables_number 115
_symmetry_space_group_name_Hall 'P -4 -2'
_cell_length_a 4.359
_cell_length_b 4.359
_cell_length_c 6.515
_cell_angle_alpha 90.00
_cell_angle_beta 90.00
_cell_angle_gamma 90.00
loop_
_atom_site_label
_atom_site_fract_x
_atom_site_fract_y
_atom_site_fract_z
_atom_site_occupancy
Li1 0.000 0.000 0.000 1
Li2 0.000 0.500 0.721 1
Li3 0.500 0.500 0.500 1
Al1 0.000 0.000 0.500 1
Bi1 0.500 0.500 0.000 1
Pt1 0.000 0.500 0.286 1

[5]
# AcHgIr (GGA-PBE, relaxed)
# Final energy   -57.10 eV per cell
# Energy of formation   -339 meV per atom
data_AcHgIr
_chemical_formula_sum 'Ac4 Hg4 Ir4'
_symmetry_space_group_name_H-M 'F -4 3 m'
_symmetry_Int_Tables_number 216
_symmetry_space_group_name_Hall 'F -4 2 3'
_cell_length_a 6.966
_cell_length_b 6.966
_cell_length_c 6.966
_cell_angle_alpha 90.00
_cell_angle_beta 90.00
_cell_angle_gamma 90.00
loop_
_atom_site_label
_atom_site_fract_x
_atom_site_fract_y
_atom_site_fract_z
_atom_site_occupancy
Ac1 0.000 0.000 0.000 1
Hg1 0.000 0.000 0.500 1
Ir1 0.250 0.250 0.250 1

[6]
# PmAuSeO (GGA-PBE, relaxed)
# Final energy   -96.05 eV per cell
# ΔE to the lowest computed polymorph   0 kJ/mol of formula units
data_PmAuSeO
_chemical_formula_sum 'Pm4 Au4 Se4 O4'
_symmetry_space_group_name_H-M 'A e m 2'
_symmetry_Int_Tables_number 39
_symmetry_space_group_name_Hall 'A 2 -2b'
_cell_length_a 9.629
_cell_length_b 5.746
_cell_length_c 5.763
_cell_angle_alpha 90.00
_cell_angle_beta 90.00
_cell_angle_gamma 90.00
loop_
_atom_site_label
_atom_site_fract_x
_atom_site_fract_y
_atom_site_fract_z
_atom_site_occupancy
Pm1 0.120 0.250 0.000 1
Au1 0.500 0.000 0.001 1
Se1 0.284 0.250 0.501 1
O1 0.000 0.000 0.250 1